# SrTiHS2 PBE relaxed
data_SrTiHS2
_chemical_formula_sum 'Sr1 Ti1 H1 S2'
_symmetry_space_group_name_H-M 'P 4/m m m'
_symmetry_Int_Tables_number 123
_symmetry_space_group_name_Hall '-P 4 2'
_cell_length_a 4.8341
_cell_length_b 4.8341
_cell_length_c 3.8746
_cell_angle_alpha 90.00
_cell_angle_beta 90.00
_cell_angle_gamma 90.00
loop_
_atom_site_label
_atom_site_type_symbol
_atom_site_fract_x
_atom_site_fract_y
_atom_site_fract_z
Sr1 Sr 0.0000 0.0000 0.0000
Ti1 Ti 0.5000 0.5000 0.5000
H1 H 0.5000 0.5000 0.0000
S1 S 0.0000 0.5000 0.5000
# DFT total energy: -27.73 eV for the cell shown
# V: 18.1 Å³/atom
# D(E_F): 3.08 states/eV per cell

# Ba6GaN2 PBE relaxed
data_Ba6GaN2
_chemical_formula_sum 'Ba12 Ga2 N4'
_symmetry_space_group_name_H-M 'C 1 2/m 1'
_symmetry_Int_Tables_number 12
_cell_length_a 13.9422
_cell_length_b 5.6784
_cell_length_c 10.0650
_cell_angle_alpha 90.00
_cell_angle_beta 108.01
_cell_angle_gamma 90.00
loop_
_symmetry_equiv_pos_as_xyz
'x,y,z'
'-x,-y,-z'
'-x,y,-z'
'x,-y,z'
'x+1/2,y+1/2,z'
'-x+1/2,-y+1/2,-z'
'-x+1/2,y+1/2,-z'
'x+1/2,-y+1/2,z'
loop_
_atom_site_label
_atom_site_type_symbol
_atom_site_fract_x
_atom_site_fract_y
_atom_site_fract_z
Ba1 Ba 0.0471 0.0000 0.1956
Ba2 Ba 0.1525 0.5000 0.6182
Ba3 Ba 0.2121 0.5000 0.0820
Ga1 Ga 0.0000 0.0000 0.5000
N1 N 0.2124 0.0000 0.1355
# Formation energy (no corrections): -2.3 eV per formula unit
# V: 42.1 Å³/atom
# D(E_F): 12.48 states/eV per cell

# CaMg14Nb PBE relaxed
data_CaMg14Nb
_chemical_formula_sum 'Ca1 Mg14 Nb1'
_symmetry_space_group_name_H-M 'P -6 m 2'
_symmetry_Int_Tables_number 187
_symmetry_space_group_name_Hall 'P -6 2'
_cell_length_a 6.4611
_cell_length_b 6.4611
_cell_length_c 10.2681
_cell_angle_alpha 90.00
_cell_angle_beta 90.00
_cell_angle_gamma 120.00
loop_
_atom_site_label
_atom_site_type_symbol
_atom_site_fract_x
_atom_site_fract_y
_atom_site_fract_z
Ca1 Ca 0.0000 0.0000 0.0000
Mg1 Mg 0.0102 0.5051 0.0000
Mg2 Mg 0.1638 0.3276 0.2650
Mg3 Mg 0.5018 0.0037 0.5000
Mg4 Mg 0.6667 0.3333 0.2430
Nb1 Nb 0.0000 0.0000 0.5000
# ΔH_f (0 K): 0.082 eV per atom
# V: 23.2 Å³/atom
# Polymorph energy (0 for the lowest one): 0 meV/atom
# D(E_F): 9.70 states/eV per cell

# DyYInPd PBE relaxed
data_DyYInPd
_chemical_formula_sum 'Dy4 Y4 In4 Pd4'
_symmetry_space_group_name_H-M 'F -4 3 m'
_symmetry_Int_Tables_number 216
_symmetry_space_group_name_Hall 'F -4 2 3'
_cell_length_a 7.3027
_cell_length_b 7.3027
_cell_length_c 7.3027
_cell_angle_alpha 90.00
_cell_angle_beta 90.00
_cell_angle_gamma 90.00
loop_
_atom_site_label
_atom_site_type_symbol
_atom_site_fract_x
_atom_site_fract_y
_atom_site_fract_z
Dy1 Dy 0.0000 0.0000 0.0000
Y1 Y 0.0000 0.0000 0.5000
In1 In 0.2500 0.2500 0.7500
Pd1 Pd 0.2500 0.2500 0.2500
# ΔH_f (0 K): -0.614 eV per atom
# V: 24.3 Å³/atom
# D(E_F): 13.87 states/eV per cell

# Pr3RuAu2 PBE relaxed
data_Pr3RuAu2
_chemical_formula_sum 'Pr12 Ru4 Au8'
_symmetry_space_group_name_H-M 'C 1 2/c 1'
_symmetry_Int_Tables_number 15
_cell_length_a 14.0281
_cell_length_b 6.0441
_cell_length_c 8.2542
_cell_angle_alpha 90.00
_cell_angle_beta 107.15
_cell_angle_gamma 90.00
loop_
_symmetry_equiv_pos_as_xyz
'x,y,z'
'-x,-y,-z'
'-x,y,-z+1/2'
'x,-y,z+1/2'
'x+1/2,y+1/2,z'
'-x+1/2,-y+1/2,-z'
'-x+1/2,y+1/2,-z+1/2'
'x+1/2,-y+1/2,z+1/2'
loop_
_atom_site_label
_atom_site_type_symbol
_atom_site_fract_x
_atom_site_fract_y
_atom_site_fract_z
Pr1 Pr 0.0000 0.0016 0.2500
Pr2 Pr 0.1448 0.4985 0.0721
Ru1 Ru 0.0000 0.4982 0.7500
Au1 Au 0.1757 0.0015 0.5880
# ΔH_f (0 K): -0.455 eV per atom
# V: 27.9 Å³/atom
# D(E_F): 19.10 states/eV per cell

# SrOs3Ru PBE relaxed
data_SrOs3Ru
_chemical_formula_sum 'Sr1 Os3 Ru1'
_symmetry_space_group_name_H-M 'P m -3 m'
_symmetry_Int_Tables_number 221
_symmetry_space_group_name_Hall '-P 4 2 3'
_cell_length_a 4.7615
_cell_length_b 4.7615
_cell_length_c 4.7615
_cell_angle_alpha 90.00
_cell_angle_beta 90.00
_cell_angle_gamma 90.00
loop_
_atom_site_label
_atom_site_type_symbol
_atom_site_fract_x
_atom_site_fract_y
_atom_site_fract_z
Sr1 Sr 0.0000 0.0000 0.0000
Os1 Os 0.0000 0.5000 0.5000
Ru1 Ru 0.5000 0.5000 0.5000
# ΔH_f (0 K): 1.583 eV per atom
# V: 21.6 Å³/atom
# Polymorph energy (0 for the lowest one): 0 meV/atom
# D(E_F): 5.50 states/eV per cell

Question: Which of these has the lowest V?
Answer: SrTiHS2